PaNb2Cr | PBE-GGA | relaxed Values from VASP.

Cell and atoms, written as Quantum ESPRESSO input:
```
&SYSTEM
  ibrav = 0, nat = 4, ntyp = 3
/
ATOMIC_SPECIES
Nb 92.91 Nb.upf
Pa 231.04 Pa.upf
Cr 52.00 Cr.upf
ATOMIC_POSITIONS crystal
Nb 0.7500 0.7500 0.7500
Nb 0.2500 0.2500 0.2500
Pa 0.5000 0.5000 0.5000
Cr 0.0000 0.0000 0.0000
CELL_PARAMETERS angstrom
-1.7518 4.2243 0.8515
-3.0554 0.5974 3.4563
1.2538 2.3071 3.8399
```

Summary:
- crystal system = cubic
- offset from the most stable computed form (eV/f.u.) = 0.00
- calculated density (g/cm3) = 10.938
- energy of formation (eV/atom) = 0.140



PrYPdAu | PBE-GGA | relaxed Values from VASP.

Cell and atoms, written as Quantum ESPRESSO input:
```
&SYSTEM
  ibrav = 0, nat = 4, ntyp = 4
/
ATOMIC_SPECIES
Y 88.91 Y.upf
Pd 106.42 Pd.upf
Au 196.97 Au.upf
Pr 140.91 Pr.upf
ATOMIC_POSITIONS crystal
Y 0.8639 0.5000 0.7278
Pd 0.4139 0.0000 0.8278
Au 0.5824 0.5000 0.1648
Pr 0.1397 0.0000 0.2795
CELL_PARAMETERS angstrom
-0.5543 3.7668 0.6123
-1.3694 -0.9282 4.4711
5.4015 -1.4008 1.3635
```

Summary:
- crystal system = orthorhombic
- offset from the most stable computed form (eV/f.u.) = 0.00
- calculated density (g/cm3) = 8.900
- energy of formation (eV/atom) = -0.832



CeTmTeC | PBE-GGA | relaxed Values from VASP.

Cell and atoms, written as Quantum ESPRESSO input:
```
&SYSTEM
  ibrav = 0, nat = 4, ntyp = 4
/
ATOMIC_SPECIES
Te 127.60 Te.upf
Ce 140.12 Ce.upf
Tm 168.93 Tm.upf
C 12.01 C.upf
ATOMIC_POSITIONS crystal
Te 0.7528 0.7528 0.7417
Ce 0.9780 0.9780 0.0659
Tm 0.5201 0.5201 0.4398
C 0.2491 0.2491 0.2527
CELL_PARAMETERS angstrom
-0.6106 0.1981 3.7884
0.0233 -3.2046 2.1200
6.7365 -0.2391 3.0469
```

Summary:
- raw formation energy (eV per atom) = -0.80
- crystal system = trigonal
- calculated density (g/cm3) = 8.257



SiAsRh | PBE-GGA | relaxed Values from VASP.

Cell and atoms, written as Quantum ESPRESSO input:
```
&SYSTEM
  ibrav = 0, nat = 3, ntyp = 3
/
ATOMIC_SPECIES
As 74.92 As.upf
Rh 102.91 Rh.upf
Si 28.09 Si.upf
ATOMIC_POSITIONS crystal
As 0.5000 0.5000 0.5000
Rh 0.2500 0.2500 0.2500
Si 0.0000 0.0000 0.0000
CELL_PARAMETERS angstrom
-2.6338 1.8961 2.5816
-3.9581 0.5471 -1.1094
-2.9967 -2.1731 1.8694
```

Summary:
- raw formation energy (eV per atom) = -0.31
- crystal system = cubic
- offset from the most stable computed form (eV/f.u.) = 0.49
- calculated density (g/cm3) = 6.781



> Which of these has the lowest calculated density?

SiAsRh



> Which formula does entry 3 have?

CeTmTeC



> The lowest calculated density belongs to which entry?

SiAsRh



What did the first record say?
PaNb2Cr | PBE-GGA | relaxed Values from VASP.

Cell and atoms, written as Quantum ESPRESSO input:
```
&SYSTEM
  ibrav = 0, nat = 4, ntyp = 3
/
ATOMIC_SPECIES
Nb 92.91 Nb.upf
Pa 231.04 Pa.upf
Cr 52.00 Cr.upf
ATOMIC_POSITIONS crystal
Nb 0.7500 0.7500 0.7500
Nb 0.2500 0.2500 0.2500
Pa 0.5000 0.5000 0.5000
Cr 0.0000 0.0000 0.0000
CELL_PARAMETERS angstrom
-1.7518 4.2243 0.8515
-3.0554 0.5974 3.4563
1.2538 2.3071 3.8399
```

Summary:
- crystal system = cubic
- offset from the most stable computed form (eV/f.u.) = 0.00
- calculated density (g/cm3) = 10.938
- energy of formation (eV/atom) = 0.140